Material: AcMnSi2
Method: DFT, PBE
State: relaxed

Cell lengths 4.121, 4.121, 6.098 Å; angles 70.25, 70.25, 60.00 degrees
Last column: magnetic moment on the atom in μB.
Positions (direct):
Mn (0.000, 0.000, 0.000)  2.46
Si (0.706, 0.706, 0.883)  -0.04
Ac (0.500, 0.500, 0.500)  -0.02
Si (0.294, 0.294, 0.117)  -0.04

Electronic total energy   -6.45 eV per atom
Spin magnetization   2.48 μB/f.u.
Distance to the lowest polymorph of the same formula   8 meV per atom
Formation energy (no corrections)   -0.422 eV/atom
D(E_F)   2.85 states/eV/cell